PBE Mg2TiIr2, optimized geometry; relative energy among the computed polymorphs = 308 meV per atom; energy relative to the elements = -0.27 eV per atom; E_tot = -6.031 eV per atom
1.0
7.1819 0.0000 0.0000
0.0000 7.1819 0.0000
0.0000 0.0000 3.1820
Mg Ir Ti
4 4 2
Direct
0.1436 0.6436 0.5000 Mg
0.6436 0.8564 0.5000 Mg
0.8564 0.3564 0.5000 Mg
0.3564 0.1436 0.5000 Mg
0.3442 0.8442 0.0000 Ir
0.8442 0.6558 0.0000 Ir
0.6558 0.1558 0.0000 Ir
0.1558 0.3442 0.0000 Ir
0.0000 0.0000 0.0000 Ti
0.5000 0.5000 0.0000 Ti